No. 1
! SrPd2Pt2 | Alexandria via LeMat-Bulk | PBE-GGA | optimized geometry; values from VASP
! * spin magnetization: 0.00 μB per formula unit
! * ΔH_f (0 K): -281.7 meV/atom
! * excess energy over the best structure of this formula in the dataset: 25 meV per atom
! * SG: I4/mmm
! * calculated total energy: -0.3757 Ry per atom
&SYSTEM
  ibrav = 0, nat = 10, ntyp = 3
/
ATOMIC_SPECIES
Sr 87.62 Sr.upf
Pd 106.42 Pd.upf
Pt 195.08 Pt.upf
CELL_PARAMETERS angstrom
-2.249 2.249 10.475
2.249 -2.249 10.475
2.249 2.249 -10.475
ATOMIC_POSITIONS angstrom
Sr 0.000 0.000 2.579
Sr 0.000 0.000 18.371
Pd 2.249 0.000 0.000
Pd 0.000 0.000 6.597
Pd 0.000 2.249 0.000
Pd 0.000 0.000 14.353
Pt 2.249 0.000 5.237
Pt 0.000 0.000 9.099
Pt 0.000 0.000 11.850
Pt 0.000 2.249 5.237

***

No. 2
! Tb2NiGe4 | Alexandria via LeMat-Bulk | PBE-GGA | optimized geometry; values from VASP
! * spin magnetization: 0.00 μB per formula unit
! * ΔH_f (0 K): -694.4 meV/atom
! * SG: Amm2
! * calculated total energy: -0.4029 Ry per atom
&SYSTEM
  ibrav = 0, nat = 7, ntyp = 3
/
ATOMIC_SPECIES
Tb 158.93 Tb.upf
Ni 58.69 Ni.upf
Ge 72.64 Ge.upf
CELL_PARAMETERS angstrom
4.082 0.000 0.000
0.000 2.058 8.161
0.000 -2.058 8.161
ATOMIC_POSITIONS angstrom
Tb 0.000 0.000 0.000
Tb 2.041 0.000 3.427
Ni 0.000 0.000 12.919
Ge 0.000 0.000 5.941
Ge 0.000 0.000 10.593
Ge 2.041 0.000 9.005
Ge 2.041 0.000 14.095

***

No. 3
! SbP2Rh | Alexandria via LeMat-Bulk | PBE-GGA | optimized geometry; values from VASP
! * E_form (uncorrected): -21.1 kJ per mole of atoms
! * spin magnetization: 0.00 μB per formula unit
! * SG: P2/m
! * calculated total energy: -0.4257 Ry per atom
&SYSTEM
  ibrav = 0, nat = 4, ntyp = 3
/
ATOMIC_SPECIES
Sb 121.76 Sb.upf
P 30.97 P.upf
Rh 102.91 Rh.upf
CELL_PARAMETERS angstrom
4.401 0.000 0.000
0.000 3.690 0.000
-1.341 0.000 4.501
ATOMIC_POSITIONS angstrom
Sb 0.000 0.000 0.000
P 0.159 1.845 2.966
P 2.900 1.845 1.536
Rh 1.530 0.000 2.251

***

No. 4
! In3Ga2Bi2 | Alexandria via LeMat-Bulk | PBE-GGA | optimized geometry; values from VASP
! * spin magnetization: 0.00 μB per formula unit
! * ΔH_f (0 K): 67.3 meV/atom
! * SG: C2/m
! * calculated total energy: -0.2264 Ry per atom
&SYSTEM
  ibrav = 0, nat = 7, ntyp = 3
/
ATOMIC_SPECIES
In 114.82 In.upf
Ga 69.72 Ga.upf
Bi 208.98 Bi.upf
CELL_PARAMETERS angstrom
9.005 -2.279 0.000
9.005 2.279 0.000
-0.956 0.000 4.927
ATOMIC_POSITIONS angstrom
In 0.000 0.000 0.000
In 4.867 0.000 4.367
In 12.187 0.000 0.561
Ga 7.416 0.000 3.098
Ga 9.638 0.000 1.829
Bi 1.961 0.000 3.205
Bi 15.093 0.000 1.722

***

No. 5
! Dy4PbSe2S | Alexandria via LeMat-Bulk | PBE-GGA | optimized geometry; values from VASP
! * E_form (uncorrected): -141.2 kJ per mole of atoms
! * spin magnetization: 0.00 μB per formula unit
! * SG: P2/m
! * calculated total energy: -0.4127 Ry per atom
&SYSTEM
  ibrav = 0, nat = 8, ntyp = 4
/
ATOMIC_SPECIES
Dy 162.50 Dy.upf
Pb 207.20 Pb.upf
Se 78.96 Se.upf
S 32.06 S.upf
CELL_PARAMETERS angstrom
7.179 0.000 0.000
0.000 4.136 0.000
-2.391 0.000 6.774
ATOMIC_POSITIONS angstrom
Dy 1.179 0.000 1.582
Dy 0.004 2.068 5.188
Dy 4.783 2.068 1.586
Dy 3.609 0.000 5.192
Pb -1.196 0.000 3.387
Se 3.590 0.000 0.000
Se 2.394 2.068 3.387
S 0.000 2.068 0.000

***

No. 6
! PuCd6Au4 | Alexandria via LeMat-Bulk | PBE-GGA | optimized geometry; values from VASP
! * spin magnetization: 5.70 μB per formula unit
! * ΔH_f (0 K): -204.2 meV/atom
! * SG: P-6m2
! * calculated total energy: -0.2351 Ry per atom
&SYSTEM
  ibrav = 0, nat = 11, ntyp = 3
/
ATOMIC_SPECIES
Pu 244.00 Pu.upf
Cd 112.41 Cd.upf
Au 196.97 Au.upf
CELL_PARAMETERS angstrom
8.902 0.000 0.000
-4.451 7.710 0.000
0.000 0.000 3.591
ATOMIC_POSITIONS angstrom
Pu 0.000 0.000 0.000
Cd 0.000 2.963 1.795
Cd -1.885 6.228 1.795
Cd 4.451 0.559 0.000
Cd 2.710 3.575 0.000
Cd 1.885 6.228 1.795
Cd 6.193 3.575 0.000
Au 0.000 5.140 0.000
Au 2.272 1.312 1.795
Au 6.630 1.312 1.795
Au 4.451 5.086 1.795